Record 1
Entry from Alexandria via LeMat-Bulk: a relaxed structure of AgRhI (PBE).

POSCAR file:
```
AgRhI
1.0
4.884 0.004 -0.001
-0.895 4.933 0.003
-0.386 -1.740 5.454
I Ag Rh
2 2 2
Direct
0.719 0.810 0.397 I
0.277 0.586 0.860 I
0.733 0.210 0.989 Ag
0.266 0.186 0.265 Ag
0.165 0.020 0.723 Rh
0.835 0.375 0.530 Rh
```

Results
**Symmetry**: P1 (1)
**DOS at the Fermi energy**: 5.96 states/eV/cell
**Formation energy (no corrections)**: 29.34 kJ per mole of atoms
**VASP energy**: -3.614 eV/atom

---

Record 2
Entry from Alexandria via LeMat-Bulk: a relaxed structure of Pr2GeF (PBE).

POSCAR file:
```
Pr2GeF
1.0
-2.524 -3.583 -0.733
0.681 -3.715 2.342
-5.661 0.024 5.902
Ge Pr F
1 2 1
Direct
0.500 0.500 0.500 Ge
0.900 0.900 0.301 Pr
0.100 0.100 0.699 Pr
0.000 0.000 0.000 F
```

Results
**Symmetry**: R-3m (166)
**DOS at the Fermi energy**: 2.63 states/eV/cell
**Formation energy (no corrections)**: -156.46 kJ per mole of atoms
**VASP energy**: -5.634 eV/atom

---

Record 3
Entry from Alexandria via LeMat-Bulk: a relaxed structure of Pa2Ge7Pd12 (PBE).

POSCAR file:
```
Pa2Ge7Pd12
1.0
3.978 0.000 0.000
0.000 8.778 -5.068
0.000 0.000 10.136
Pd Ge Pa
12 7 2
Direct
0.500 0.555 0.759 Pd
0.000 0.487 0.945 Pd
0.500 0.384 0.285 Pd
0.000 0.458 0.513 Pd
0.000 0.949 0.217 Pd
0.500 0.205 0.445 Pd
0.500 0.715 0.099 Pd
0.000 0.055 0.542 Pd
0.000 0.268 0.051 Pd
0.500 0.901 0.616 Pd
0.500 0.241 0.795 Pd
0.000 0.783 0.732 Pd
0.500 0.451 0.079 Ge
0.000 0.333 0.667 Ge
0.000 0.054 0.789 Ge
0.500 0.921 0.372 Ge
0.500 0.628 0.549 Ge
0.000 0.734 0.946 Ge
0.000 0.211 0.266 Ge
0.500 0.000 0.000 Pa
0.000 0.667 0.333 Pa
```

Results
**Symmetry**: P-6 (174)
**DOS at the Fermi energy**: 14.79 states/eV/cell
**VASP energy**: -5.980 eV/atom

---

Record 4
Entry from Alexandria via LeMat-Bulk: a relaxed structure of SmEr2Ga (PBE).

POSCAR file:
```
SmEr2Ga
1.0
3.488 0.000 0.000
1.744 3.020 0.000
1.744 1.007 11.618
Ga Er Sm
1 2 1
Direct
0.000 0.000 0.000 Ga
0.915 0.915 0.255 Er
0.085 0.085 0.745 Er
0.500 0.500 0.500 Sm
```

Results
**Symmetry**: R-3m (166)
**DOS at the Fermi energy**: 4.38 states/eV/cell
**VASP energy**: -4.070 eV/atom

---

Record 5
Entry from Alexandria via LeMat-Bulk: a relaxed structure of AgBPt3 (PBE).

POSCAR file:
```
AgBPt3
1.0
5.186 0.000 0.000
0.000 7.370 0.000
0.000 0.000 8.321
Ag Pt B
4 12 4
Direct
0.000 0.000 0.500 Ag
0.500 0.000 0.000 Ag
0.500 0.500 0.000 Ag
0.000 0.500 0.500 Ag
0.236 0.750 0.274 Pt
0.495 0.567 0.661 Pt
0.264 0.250 0.774 Pt
0.505 0.067 0.339 Pt
0.995 0.567 0.839 Pt
0.764 0.250 0.726 Pt
0.495 0.933 0.661 Pt
0.995 0.933 0.839 Pt
0.736 0.750 0.226 Pt
0.005 0.067 0.161 Pt
0.005 0.433 0.161 Pt
0.505 0.433 0.339 Pt
0.051 0.250 0.979 B
0.949 0.750 0.021 B
0.551 0.250 0.521 B
0.449 0.750 0.479 B
```

Results
**Symmetry**: Pnma (62)
**DOS at the Fermi energy**: 11.36 states/eV/cell
**VASP energy**: -5.517 eV/atom

---

Record 6
Entry from Alexandria via LeMat-Bulk: a relaxed structure of ScTi3I (PBE).

POSCAR file:
```
ScTi3I
1.0
4.941 0.000 0.000
0.000 4.941 0.000
0.000 0.000 4.941
Ti Sc I
3 1 1
Direct
0.000 0.000 0.500 Ti
0.000 0.500 0.000 Ti
0.500 0.000 0.000 Ti
0.000 0.000 0.000 Sc
0.500 0.500 0.500 I
```

Results
**Symmetry**: Pm-3m (221)
**DOS at the Fermi energy**: 5.72 states/eV/cell
**Formation energy (no corrections)**: 120.56 kJ per mole of atoms
**VASP energy**: -5.064 eV/atom

---

Record 7
Entry from Alexandria via LeMat-Bulk: a relaxed structure of SmCuO3 (PBE).

POSCAR file:
```
SmCuO3
1.0
-3.711 -3.134 1.737
1.411 -3.750 -3.754
2.363 -0.052 4.956
O Sm Cu
6 2 2
Direct
0.500 0.000 0.714 O
0.500 0.714 0.000 O
0.000 0.286 0.000 O
0.500 0.286 0.286 O
0.000 0.000 0.286 O
0.000 0.714 0.714 O
0.250 0.667 0.333 Sm
0.750 0.333 0.667 Sm
0.250 0.000 0.000 Cu
0.750 0.000 0.000 Cu
```

Results
**Symmetry**: P6_322 (182)
**Formation energy (no corrections)**: -177.21 kJ per mole of atoms
**VASP energy**: -6.575 eV/atom

---

Record 8
Entry from Alexandria via LeMat-Bulk: a relaxed structure of LaDy3Ho5 (PBE).

POSCAR file:
```
LaDy3Ho5
1.0
-6.363 -6.444 2.372
-0.152 -5.815 7.336
-8.036 -0.163 10.076
Ho Dy La
10 6 2
Direct
0.079 0.490 0.780 Ho
0.321 0.679 0.000 Ho
0.370 0.370 0.930 Ho
0.679 0.321 0.000 Ho
0.555 0.555 0.569 Ho
0.510 0.921 0.220 Ho
0.921 0.510 0.220 Ho
0.630 0.630 0.070 Ho
0.490 0.079 0.780 Ho
0.445 0.445 0.431 Ho
0.173 0.173 0.660 Dy
0.827 0.827 0.340 Dy
0.697 0.697 0.683 Dy
0.303 0.303 0.317 Dy
0.000 0.000 0.000 Dy
0.000 0.000 0.500 Dy
0.899 0.899 0.863 La
0.101 0.101 0.137 La
```

Results
**Symmetry**: C2/m (12)
**DOS at the Fermi energy**: 27.91 states/eV/cell
**VASP energy**: -4.210 eV/atom

---

Record 9
Entry from Alexandria via LeMat-Bulk: a relaxed structure of PrTmRhPb (PBE).

POSCAR file:
```
PrTmRhPb
1.0
-3.787 -3.599 -0.097
-1.205 -2.404 -4.480
1.203 -5.041 -0.666
Pb Rh Pr Tm
1 1 1 1
Direct
0.500 0.500 0.500 Pb
0.000 0.000 0.000 Rh
0.750 0.750 0.750 Pr
0.250 0.250 0.250 Tm
```

Results
**Symmetry**: F-43m (216)
**DOS at the Fermi energy**: 3.52 states/eV/cell
**VASP energy**: -5.531 eV/atom

---

Record 10
Entry from Alexandria via LeMat-Bulk: a relaxed structure of Sc3Mn5H12 (PBE).

POSCAR file:
```
Sc3Mn5H12
1.0
-5.905 5.434 4.835
-4.875 -5.593 -5.720
5.017 -5.222 5.944
Mn Sc H
20 12 48
Direct
0.000 0.500 0.000 Mn
0.500 0.000 0.000 Mn
0.000 0.000 0.500 Mn
0.125 0.375 0.250 Mn
0.750 0.625 0.375 Mn
0.625 0.750 0.875 Mn
0.875 0.250 0.625 Mn
0.250 0.375 0.625 Mn
0.500 0.500 0.000 Mn
0.250 0.875 0.125 Mn
0.750 0.125 0.875 Mn
0.375 0.250 0.125 Mn
0.125 0.750 0.375 Mn
0.375 0.125 0.750 Mn
0.000 0.500 0.500 Mn
0.875 0.625 0.750 Mn
0.500 0.000 0.500 Mn
0.000 0.000 0.000 Mn
0.500 0.500 0.500 Mn
0.625 0.875 0.250 Mn
0.750 0.875 0.625 Sc
0.250 0.625 0.875 Sc
0.125 0.250 0.875 Sc
0.875 0.125 0.250 Sc
0.875 0.750 0.125 Sc
0.375 0.750 0.625 Sc
0.750 0.375 0.125 Sc
0.625 0.375 0.750 Sc
0.250 0.125 0.375 Sc
0.125 0.875 0.750 Sc
0.625 0.250 0.375 Sc
0.375 0.625 0.250 Sc
0.163 0.083 0.962 H
0.837 0.919 0.299 H
0.081 0.163 0.201 H
0.462 0.799 0.879 H
0.621 0.583 0.919 H
0.163 0.081 0.701 H
0.917 0.837 0.538 H
0.201 0.538 0.621 H
0.701 0.121 0.038 H
0.299 0.419 0.837 H
0.417 0.379 0.581 H
0.538 0.337 0.917 H
0.663 0.462 0.583 H
0.879 0.581 0.917 H
0.083 0.919 0.121 H
0.083 0.163 0.462 H
0.038 0.621 0.701 H
0.337 0.799 0.419 H
0.417 0.038 0.337 H
0.799 0.462 0.379 H
0.379 0.962 0.799 H
0.379 0.417 0.081 H
0.462 0.663 0.083 H
0.581 0.879 0.417 H
0.799 0.337 0.919 H
0.962 0.583 0.163 H
0.962 0.379 0.299 H
0.879 0.299 0.462 H
0.621 0.038 0.201 H
0.419 0.299 0.337 H
0.583 0.962 0.663 H
0.038 0.417 0.837 H
0.917 0.081 0.879 H
0.121 0.701 0.538 H
0.121 0.419 0.083 H
0.837 0.917 0.038 H
0.419 0.121 0.583 H
0.538 0.201 0.121 H
0.663 0.201 0.581 H
0.581 0.701 0.663 H
0.919 0.083 0.621 H
0.081 0.917 0.379 H
0.201 0.663 0.081 H
0.337 0.538 0.417 H
0.299 0.879 0.962 H
0.583 0.621 0.419 H
0.701 0.581 0.163 H
0.919 0.837 0.799 H
```

Results
**Symmetry**: Ia-3d (230)
**DOS at the Fermi energy**: 19.56 states/eV/cell
**VASP energy**: -5.496 eV/atom

---

Record 11
Entry from Alexandria via LeMat-Bulk: a relaxed structure of AcY8Ho4 (PBE).

POSCAR file:
```
AcY8Ho4
1.0
-3.874 -4.131 4.045
6.248 -2.143 -2.192
5.006 7.736 6.707
Y Ho Ac
8 4 1
Direct
0.506 0.753 0.742 Y
0.011 0.247 0.258 Y
0.592 0.796 0.387 Y
0.989 0.753 0.742 Y
0.408 0.204 0.613 Y
0.011 0.764 0.258 Y
0.494 0.247 0.258 Y
0.989 0.236 0.742 Y
0.000 0.000 0.000 Ho
0.000 0.500 0.000 Ho
0.500 0.000 0.000 Ho
0.500 0.500 0.000 Ho
0.000 0.500 0.500 Ac
```

Results
**Symmetry**: R-3m (166)
**DOS at the Fermi energy**: 16.44 states/eV/cell
**VASP energy**: -5.422 eV/atom

---

Record 12
Entry from Alexandria via LeMat-Bulk: a relaxed structure of PrHoTiN3 (PBE).

POSCAR file:
```
PrHoTiN3
1.0
-1.837 -2.961 0.721
5.982 -3.023 2.828
-2.823 3.314 6.414
N Ti Pr Ho
6 2 2 2
Direct
0.250 0.829 0.483 N
0.250 0.116 0.849 N
0.750 0.884 0.151 N
0.750 0.410 0.140 N
0.250 0.590 0.860 N
0.750 0.171 0.517 N
0.250 0.104 0.598 Ti
0.750 0.896 0.402 Ti
0.750 0.827 0.824 Pr
0.250 0.173 0.176 Pr
0.750 0.365 0.846 Ho
0.250 0.635 0.154 Ho
```

Results
**Symmetry**: P2_1/m (11)
**DOS at the Fermi energy**: 3.26 states/eV/cell
**Formation energy (no corrections)**: -126.19 kJ per mole of atoms
**VASP energy**: -8.346 eV/atom

---

Record 13
Entry from Alexandria via LeMat-Bulk: a relaxed structure of CsHgBi (PBE).

POSCAR file:
```
CsHgBi
1.0
-3.755 -2.809 -9.036
2.203 -8.766 5.300
-1.847 8.476 2.216
Cs Bi Hg
2 2 2
Direct
0.495 0.683 0.007 Cs
0.641 0.072 0.916 Cs
0.895 0.879 0.702 Bi
0.545 0.381 0.429 Bi
0.225 0.851 0.186 Hg
0.037 0.796 0.375 Hg
```

Results
**Symmetry**: P1 (1)
**DOS at the Fermi energy**: 0.05 states/eV/cell
**VASP energy**: -1.951 eV/atom

---

Record 14
Entry from Alexandria via LeMat-Bulk: a relaxed structure of Sm2DyHo3Se6 (PBE).

POSCAR file:
```
Sm2DyHo3Se6
1.0
-3.755 -1.166 1.083
-0.762 -4.137 -7.095
5.367 -5.430 5.081
Dy Se Sm Ho
1 6 2 3
Direct
0.500 0.000 0.000 Dy
0.664 0.589 0.327 Se
0.336 0.411 0.673 Se
0.334 0.925 0.668 Se
0.666 0.075 0.332 Se
0.003 0.750 0.006 Se
0.997 0.250 0.994 Se
0.832 0.664 0.664 Sm
0.168 0.336 0.336 Sm
0.169 0.833 0.338 Ho
0.500 0.500 0.000 Ho
0.831 0.167 0.662 Ho
```

Results
**Symmetry**: C2/m (12)
**DOS at the Fermi energy**: 5.50 states/eV/cell
**Formation energy (no corrections)**: -169.75 kJ per mole of atoms
**VASP energy**: -5.816 eV/atom

---

Record 15
Entry from Alexandria via LeMat-Bulk: a relaxed structure of KY2Mg (PBE).

POSCAR file:
```
KY2Mg
1.0
3.438 0.038 0.000
-1.123 3.250 0.000
0.000 0.000 12.418
K Y Mg
1 2 1
Direct
0.500 0.500 0.250 K
0.000 0.000 0.959 Y
0.000 0.000 0.541 Y
0.500 0.500 0.750 Mg
```

Results
**Symmetry**: Cmmm (65)
**DOS at the Fermi energy**: 6.36 states/eV/cell
**VASP energy**: -3.619 eV/atom

---

Record 16
Entry from Alexandria via LeMat-Bulk: a relaxed structure of PmHo5Sc2 (PBE).

POSCAR file:
```
PmHo5Sc2
1.0
6.919 0.000 0.000
0.000 6.919 0.000
-3.459 -3.459 4.942
Ho Sc Pm
5 2 1
Direct
0.222 0.222 0.944 Ho
0.222 0.722 0.944 Ho
0.722 0.722 0.944 Ho
0.722 0.222 0.944 Ho
0.722 0.722 0.444 Ho
0.222 0.722 0.444 Sc
0.722 0.222 0.444 Sc
0.222 0.222 0.445 Pm
```

Results
**Symmetry**: I4mm (107)
**DOS at the Fermi energy**: 12.66 states/eV/cell
**VASP energy**: -4.997 eV/atom

---

Record 17
Entry from Alexandria via LeMat-Bulk: a relaxed structure of Tb3Ga6Rh5 (PBE).

POSCAR file:
```
Tb3Ga6Rh5
1.0
4.231 0.000 0.000
0.000 9.367 0.000
0.000 0.000 12.547
Ga Tb Rh
12 6 10
Direct
0.000 0.593 0.321 Ga
0.500 0.407 0.179 Ga
0.000 0.041 0.500 Ga
0.000 0.425 0.500 Ga
0.500 0.020 0.654 Ga
0.500 0.959 0.000 Ga
0.000 0.980 0.154 Ga
0.500 0.575 0.000 Ga
0.500 0.020 0.346 Ga
0.000 0.593 0.679 Ga
0.500 0.407 0.821 Ga
0.000 0.980 0.846 Ga
0.500 0.749 0.804 Tb
0.000 0.251 0.304 Tb
0.500 0.739 0.500 Tb
0.000 0.251 0.696 Tb
0.500 0.749 0.196 Tb
0.000 0.261 0.000 Tb
0.000 0.867 0.656 Rh
0.500 0.133 0.844 Rh
0.000 0.867 0.344 Rh
0.000 0.791 0.000 Rh
0.500 0.209 0.500 Rh
0.500 0.466 0.615 Rh
0.000 0.534 0.885 Rh
0.500 0.133 0.156 Rh
0.000 0.534 0.115 Rh
0.500 0.466 0.385 Rh
```

Results
**Symmetry**: Pmmn (59)
**DOS at the Fermi energy**: 23.12 states/eV/cell
**VASP energy**: -5.707 eV/atom

---

Record 18
Entry from Alexandria via LeMat-Bulk: a relaxed structure of TbPrPa (PBE).

POSCAR file:
```
TbPrPa
1.0
-0.715 -2.231 -2.556
2.906 -0.363 1.856
-4.256 -5.120 5.660
Tb Pa Pr
1 1 1
Direct
0.667 0.333 0.315 Tb
0.000 0.000 0.004 Pa
0.333 0.667 0.682 Pr
```

Results
**Symmetry**: P3m1 (156)
**DOS at the Fermi energy**: 4.63 states/eV/cell
**VASP energy**: -6.135 eV/atom

---

Record 19
Entry from Alexandria via LeMat-Bulk: a relaxed structure of GePt2Pb (PBE).

POSCAR file:
```
GePt2Pb
1.0
4.103 0.000 0.000
2.052 3.553 0.000
2.052 1.184 5.769
Pb Ge Pt
1 1 2
Direct
0.496 0.496 0.513 Pb
0.672 0.672 0.983 Ge
0.281 0.281 0.158 Pt
0.051 0.051 0.846 Pt
```

Results
**Symmetry**: R3m (160)
**DOS at the Fermi energy**: 2.31 states/eV/cell
**VASP energy**: -5.277 eV/atom